# 1
# Nb2Al2Fe | Alexandria | GGA-PBE | optimized geometry
# magnetic moment	3.503	Bohr magnetons per cell
# E	-7.336	eV per atom
data_Nb2Al2Fe
_space_group_name_H-M_alt 'P 4/m b m'
_space_group_IT_number 127
_space_group_name_Hall '-P 4 2ab'
_cell_length_a 6.461
_cell_length_b 6.461
_cell_length_c 3.839
_cell_angle_alpha 90.00
_cell_angle_beta 90.00
_cell_angle_gamma 90.00
loop_
_atom_site_label
_atom_site_type_symbol
_atom_site_fract_x
_atom_site_fract_y
_atom_site_fract_z
_atom_site_occupancy
Nb1 Nb 0.165 0.335 0.000 1
Al1 Al 0.139 0.639 0.500 1
Fe1 Fe 0.000 0.000 0.500 1

# 2
# Lu2PaZn | Alexandria | GGA-PBE | optimized geometry
# E above lowest polymorph	0	meV per atom
# magnetic moment	0.015	Bohr magnetons per cell
# E	-5.038	eV per atom
data_Lu2PaZn
_space_group_name_H-M_alt 'P 4/m m m'
_space_group_IT_number 123
_space_group_name_Hall '-P 4 2'
_cell_length_a 3.346
_cell_length_b 3.346
_cell_length_c 8.598
_cell_angle_alpha 90.00
_cell_angle_beta 90.00
_cell_angle_gamma 90.00
loop_
_atom_site_label
_atom_site_type_symbol
_atom_site_fract_x
_atom_site_fract_y
_atom_site_fract_z
_atom_site_occupancy
Lu1 Lu 0.000 0.000 0.220 1
Pa1 Pa 0.500 0.500 0.500 1
Zn1 Zn 0.500 0.500 0.000 1

# 3
# LiPdBr | Alexandria | GGA-PBE | optimized geometry
# E above lowest polymorph	97	meV per atom
# E_form (uncorrected)	-0.542	eV per atom
# magnetic moment	0.000	Bohr magnetons per cell
# E	-3.469	eV per atom
data_LiPdBr
_space_group_name_H-M_alt 'P 1'
_space_group_IT_number 1
_space_group_name_Hall 'P 1'
_cell_length_a 4.636
_cell_length_b 4.818
_cell_length_c 5.668
_cell_angle_alpha 77.86
_cell_angle_beta 89.97
_cell_angle_gamma 89.81
loop_
_atom_site_label
_atom_site_type_symbol
_atom_site_fract_x
_atom_site_fract_y
_atom_site_fract_z
_atom_site_occupancy
Li1 Li 0.000 0.000 0.000 1
Li2 Li 0.499 0.352 0.441 1
Pd1 Pd 0.500 0.832 0.779 1
Pd2 Pd 0.999 0.062 0.517 1
Br1 Br 0.499 0.285 0.943 1
Br2 Br 0.998 0.598 0.392 1

# 4
# NiAgSe2 | Alexandria | GGA-PBE | optimized geometry
# E above lowest polymorph	24	meV per atom
# E_form (uncorrected)	-0.122	eV per atom
# magnetic moment	0.004	Bohr magnetons per cell
# E	-4.023	eV per atom
data_NiAgSe2
_space_group_name_H-M_alt 'R 3 m'
_space_group_IT_number 160
_space_group_name_Hall 'R 3 -2"'
_cell_length_a 3.6610
_cell_length_b 3.6610
_cell_length_c 20.6505
_cell_angle_alpha 90.00
_cell_angle_beta 90.00
_cell_angle_gamma 120.00
loop_
_atom_site_label
_atom_site_type_symbol
_atom_site_fract_x
_atom_site_fract_y
_atom_site_fract_z
_atom_site_occupancy
Ni1 Ni 0.0000 0.0000 0.0000 1
Ag1 Ag 0.0000 0.0000 0.8482 1
Se1 Se 0.0000 0.0000 0.2712 1
Se2 Se 0.0000 0.0000 0.7245 1

# 5
# CrTe2As | Alexandria | GGA-PBE | optimized geometry
# E_form (uncorrected)	-0.013	eV per atom
# magnetic moment	5.548	Bohr magnetons per cell
# E	-5.152	eV per atom
data_CrTe2As
_space_group_name_H-M_alt 'C 1 m 1'
_space_group_IT_number 8
_space_group_name_Hall 'C -2y'
_cell_length_a 8.663
_cell_length_b 3.803
_cell_length_c 7.282
_cell_angle_alpha 90.00
_cell_angle_beta 109.43
_cell_angle_gamma 90.00
loop_
_atom_site_label
_atom_site_type_symbol
_atom_site_fract_x
_atom_site_fract_y
_atom_site_fract_z
_atom_site_occupancy
Cr1 Cr 0.000 0.000 0.000 1
Te1 Te 0.084 0.500 0.287 1
Te2 Te 0.423 0.000 0.712 1
As1 As 0.295 0.000 0.999 1

# 6
# HoNi10B2 | Alexandria | GGA-PBE | optimized geometry
# magnetic moment	0.000	Bohr magnetons per cell
# E	-5.996	eV per atom
data_HoNi10B2
_space_group_name_H-M_alt 'F m m m'
_space_group_IT_number 69
_space_group_name_Hall '-F 2 2'
_cell_length_a 4.580
_cell_length_b 10.857
_cell_length_c 11.527
_cell_angle_alpha 90.00
_cell_angle_beta 90.00
_cell_angle_gamma 90.00
loop_
_atom_site_label
_atom_site_type_symbol
_atom_site_fract_x
_atom_site_fract_y
_atom_site_fract_z
_atom_site_occupancy
Ho1 Ho 0.000 0.000 0.000 1
Ni1 Ni 0.000 0.107 0.376 1
Ni2 Ni 0.000 0.164 0.180 1
Ni3 Ni 0.250 0.250 0.000 1
B1 B 0.250 0.000 0.250 1

# 7
# TiCd2SiS | Alexandria | GGA-PBE | optimized geometry
# E_form (uncorrected)	0.538	eV per atom
# magnetic moment	0.418	Bohr magnetons per cell
# E	-3.317	eV per atom
data_TiCd2SiS
_space_group_name_H-M_alt 'P 4/m m m'
_space_group_IT_number 123
_space_group_name_Hall '-P 4 2'
_cell_length_a 5.449
_cell_length_b 5.449
_cell_length_c 4.439
_cell_angle_alpha 90.00
_cell_angle_beta 90.00
_cell_angle_gamma 90.00
loop_
_atom_site_label
_atom_site_type_symbol
_atom_site_fract_x
_atom_site_fract_y
_atom_site_fract_z
_atom_site_occupancy
Ti1 Ti 0.000 0.000 0.000 1
Cd1 Cd 0.000 0.500 0.000 1
Si1 Si 0.500 0.500 0.500 1
S1 S 0.000 0.000 0.500 1

# 8
# Pm3Hg | Alexandria | GGA-PBE | optimized geometry
# E above lowest polymorph	61	meV per atom
# magnetic moment	0.000	Bohr magnetons per cell
# E	-3.798	eV per atom
data_Pm3Hg
_space_group_name_H-M_alt 'I 4/m m m'
_space_group_IT_number 139
_space_group_name_Hall '-I 4 2'
_cell_length_a 4.825
_cell_length_b 4.825
_cell_length_c 10.156
_cell_angle_alpha 90.00
_cell_angle_beta 90.00
_cell_angle_gamma 90.00
loop_
_atom_site_label
_atom_site_type_symbol
_atom_site_fract_x
_atom_site_fract_y
_atom_site_fract_z
_atom_site_occupancy
Pm1 Pm 0.000 0.000 0.000 1
Pm2 Pm 0.000 0.500 0.250 1
Hg1 Hg 0.000 0.000 0.500 1

# 9
# Ca5W4 | Alexandria | GGA-PBE | optimized geometry
# magnetic moment	0.000	Bohr magnetons per cell
# E	-6.083	eV per atom
data_Ca5W4
_space_group_name_H-M_alt 'I 4/m m m'
_space_group_IT_number 139
_space_group_name_Hall '-I 4 2'
_cell_length_a 11.285
_cell_length_b 11.285
_cell_length_c 3.516
_cell_angle_alpha 90.00
_cell_angle_beta 90.00
_cell_angle_gamma 90.00
loop_
_atom_site_label
_atom_site_type_symbol
_atom_site_fract_x
_atom_site_fract_y
_atom_site_fract_z
_atom_site_occupancy
Ca1 Ca 0.000 0.000 0.000 1
Ca2 Ca 0.167 0.167 0.500 1
W1 W 0.000 0.373 0.000 1

# 10
# La4SmY5 | Alexandria | GGA-PBE | optimized geometry
# magnetic moment	0.000	Bohr magnetons per cell
# E	-5.483	eV per atom
data_La4SmY5
_space_group_name_H-M_alt 'P -1'
_space_group_IT_number 2
_space_group_name_Hall '-P 1'
_cell_length_a 3.568
_cell_length_b 8.894
_cell_length_c 11.462
_cell_angle_alpha 89.89
_cell_angle_beta 89.99
_cell_angle_gamma 78.45
loop_
_atom_site_label
_atom_site_type_symbol
_atom_site_fract_x
_atom_site_fract_y
_atom_site_fract_z
_atom_site_occupancy
La1 La 0.030 0.437 0.250 1
La2 La 0.339 0.817 0.251 1
Sm1 Sm 0.500 0.500 0.500 1
Y1 Y 0.174 0.153 0.053 1
Y2 Y 0.175 0.152 0.445 1
Y3 Y 0.500 0.500 0.000 1

# 11
# RbNa2TeH | Alexandria | GGA-PBE | optimized geometry
# magnetic moment	0.000	Bohr magnetons per cell
# E	-2.576	eV per atom
data_RbNa2TeH
_space_group_name_H-M_alt 'P 4/m m m'
_space_group_IT_number 123
_space_group_name_Hall '-P 4 2'
_cell_length_a 5.064
_cell_length_b 5.064
_cell_length_c 5.322
_cell_angle_alpha 90.00
_cell_angle_beta 90.00
_cell_angle_gamma 90.00
loop_
_atom_site_label
_atom_site_type_symbol
_atom_site_fract_x
_atom_site_fract_y
_atom_site_fract_z
_atom_site_occupancy
Rb1 Rb 0.000 0.000 0.000 1
Na1 Na 0.000 0.500 0.500 1
Te1 Te 0.500 0.500 0.000 1
H1 H 0.000 0.000 0.500 1

# 12
# Nb2ReMo6 | Alexandria | GGA-PBE | optimized geometry
# E above lowest polymorph	0	meV per atom
# magnetic moment	0.000	Bohr magnetons per cell
# E	-10.600	eV per atom
data_Nb2ReMo6
_space_group_name_H-M_alt 'P -1'
_space_group_IT_number 2
_space_group_name_Hall '-P 1'
_cell_length_a 4.979
_cell_length_b 5.084
_cell_length_c 6.695
_cell_angle_alpha 102.79
_cell_angle_beta 111.82
_cell_angle_gamma 90.00
loop_
_atom_site_label
_atom_site_type_symbol
_atom_site_fract_x
_atom_site_fract_y
_atom_site_fract_z
_atom_site_occupancy
Nb1 Nb 0.107 0.074 0.216 1
Re1 Re 0.500 0.000 0.000 1
Mo1 Mo 0.238 0.632 0.477 1
Mo2 Mo 0.244 0.500 0.001 1
Mo3 Mo 0.319 0.143 0.637 1

# 13
# Cs2LiMgCl5 | Alexandria | GGA-PBE | optimized geometry
# E_form (uncorrected)	-1.895	eV per atom
# magnetic moment	0.389	Bohr magnetons per cell
# E	-3.501	eV per atom
data_Cs2LiMgCl5
_space_group_name_H-M_alt 'C m c 21'
_space_group_IT_number 36
_space_group_name_Hall 'C 2c -2'
_cell_length_a 4.099
_cell_length_b 20.118
_cell_length_c 13.868
_cell_angle_alpha 90.00
_cell_angle_beta 90.00
_cell_angle_gamma 90.00
loop_
_atom_site_label
_atom_site_type_symbol
_atom_site_fract_x
_atom_site_fract_y
_atom_site_fract_z
_atom_site_occupancy
Cs1 Cs 0.000 0.119 0.000 1
Cs2 Cs 0.000 0.128 0.617 1
Li1 Li 0.000 0.422 0.755 1
Mg1 Mg 0.000 0.209 0.329 1
Cl1 Cl 0.000 0.085 0.343 1
Cl2 Cl 0.000 0.288 0.947 1
Cl3 Cl 0.000 0.306 0.702 1
Cl4 Cl 0.000 0.329 0.311 1
Cl5 Cl 0.000 0.490 0.620 1

# 14
# LiHo2Ta | Alexandria | GGA-PBE | optimized geometry
# magnetic moment	0.004	Bohr magnetons per cell
# E	-5.132	eV per atom
data_LiHo2Ta
_space_group_name_H-M_alt 'R -3 m'
_space_group_IT_number 166
_space_group_name_Hall '-R 3 2"'
_cell_length_a 3.1348
_cell_length_b 3.1348
_cell_length_c 34.7798
_cell_angle_alpha 90.00
_cell_angle_beta 90.00
_cell_angle_gamma 120.00
loop_
_atom_site_label
_atom_site_type_symbol
_atom_site_fract_x
_atom_site_fract_y
_atom_site_fract_z
_atom_site_occupancy
Li1 Li 0.0000 0.0000 0.0000 1
Ho1 Ho 0.0000 0.0000 0.4154 1
Ta1 Ta 0.0000 0.0000 0.5000 1

# 15
# LaAl2O2 | Alexandria | GGA-PBE | optimized geometry
# E above lowest polymorph	0	meV per atom
# E_form (uncorrected)	-1.741	eV per atom
# magnetic moment	0.003	Bohr magnetons per cell
# E	-6.207	eV per atom
data_LaAl2O2
_space_group_name_H-M_alt 'I 4/m m m'
_space_group_IT_number 139
_space_group_name_Hall '-I 4 2'
_cell_length_a 3.504
_cell_length_b 3.504
_cell_length_c 13.715
_cell_angle_alpha 90.00
_cell_angle_beta 90.00
_cell_angle_gamma 90.00
loop_
_atom_site_label
_atom_site_type_symbol
_atom_site_fract_x
_atom_site_fract_y
_atom_site_fract_z
_atom_site_occupancy
La1 La 0.000 0.000 0.000 1
Al1 Al 0.000 0.000 0.312 1
O1 O 0.000 0.500 0.250 1

# 16
# LiCa2Zn2 | Alexandria | GGA-PBE | optimized geometry
# E above lowest polymorph	160	meV per atom
# magnetic moment	0.000	Bohr magnetons per cell
# E	-1.720	eV per atom
data_LiCa2Zn2
_space_group_name_H-M_alt 'P 4/m b m'
_space_group_IT_number 127
_space_group_name_Hall '-P 4 2ab'
_cell_length_a 8.659
_cell_length_b 8.659
_cell_length_c 3.504
_cell_angle_alpha 90.00
_cell_angle_beta 90.00
_cell_angle_gamma 90.00
loop_
_atom_site_label
_atom_site_type_symbol
_atom_site_fract_x
_atom_site_fract_y
_atom_site_fract_z
_atom_site_occupancy
Li1 Li 0.000 0.000 0.000 1
Ca1 Ca 0.154 0.346 0.000 1
Zn1 Zn 0.137 0.637 0.500 1

# 17
# Nb2CrH4 | Alexandria | GGA-PBE | optimized geometry
# magnetic moment	12.270	Bohr magnetons per cell
# E	-6.141	eV per atom
data_Nb2CrH4
_space_group_name_H-M_alt 'I m m a'
_space_group_IT_number 74
_space_group_name_Hall '-I 2b 2'
_cell_length_a 5.745
_cell_length_b 5.769
_cell_length_c 8.150
_cell_angle_alpha 90.00
_cell_angle_beta 90.00
_cell_angle_gamma 90.00
loop_
_atom_site_label
_atom_site_type_symbol
_atom_site_fract_x
_atom_site_fract_y
_atom_site_fract_z
_atom_site_occupancy
Nb1 Nb 0.000 0.000 0.000 1
Nb2 Nb 0.250 0.250 0.250 1
Cr1 Cr 0.000 0.250 0.627 1
H1 H 0.000 0.010 0.245 1
H2 H 0.241 0.250 0.005 1

# 18
# GaSiHg2Sb | Alexandria | GGA-PBE | optimized geometry
# E_form (uncorrected)	0.416	eV per atom
# magnetic moment	0.000	Bohr magnetons per cell
# E	-2.219	eV per atom
data_GaSiHg2Sb
_space_group_name_H-M_alt 'P 4/m m m'
_space_group_IT_number 123
_space_group_name_Hall '-P 4 2'
_cell_length_a 5.111
_cell_length_b 5.111
_cell_length_c 4.994
_cell_angle_alpha 90.00
_cell_angle_beta 90.00
_cell_angle_gamma 90.00
loop_
_atom_site_label
_atom_site_type_symbol
_atom_site_fract_x
_atom_site_fract_y
_atom_site_fract_z
_atom_site_occupancy
Ga1 Ga 0.000 0.000 0.000 1
Si1 Si 0.000 0.000 0.500 1
Hg1 Hg 0.000 0.500 0.500 1
Sb1 Sb 0.500 0.500 0.000 1

# 19
# Cu2SiPt | Alexandria | GGA-PBE | optimized geometry
# E_form (uncorrected)	-0.008	eV per atom
# magnetic moment	0.000	Bohr magnetons per cell
# E	-4.922	eV per atom
data_Cu2SiPt
_space_group_name_H-M_alt 'I -4 2 d'
_space_group_IT_number 122
_space_group_name_Hall 'I -4 2bw'
_cell_length_a 6.866
_cell_length_b 6.866
_cell_length_c 4.836
_cell_angle_alpha 90.00
_cell_angle_beta 90.00
_cell_angle_gamma 90.00
loop_
_atom_site_label
_atom_site_type_symbol
_atom_site_fract_x
_atom_site_fract_y
_atom_site_fract_z
_atom_site_occupancy
Cu1 Cu 0.224 0.250 0.125 1
Si1 Si 0.000 0.000 0.000 1
Pt1 Pt 0.000 0.000 0.500 1

# 20
# DyHoSc | Alexandria | GGA-PBE | optimized geometry
# E above lowest polymorph	146	meV per atom
# magnetic moment	0.001	Bohr magnetons per cell
# E	-5.003	eV per atom
data_DyHoSc
_space_group_name_H-M_alt 'P m m n'
_space_group_IT_number 59
_cell_length_a 3.357
_cell_length_b 3.371
_cell_length_c 15.678
_cell_angle_alpha 90.00
_cell_angle_beta 90.00
_cell_angle_gamma 90.00
loop_
_space_group_symop_operation_xyz
'x,y,z'
'-x,-y,-z'
'-x+1/2,-y+1/2,z'
'x+1/2,y+1/2,-z'
'x+1/2,-y,-z'
'-x+1/2,y,z'
'-x,y+1/2,-z'
'x,-y+1/2,z'
loop_
_atom_site_label
_atom_site_type_symbol
_atom_site_fract_x
_atom_site_fract_y
_atom_site_fract_z
_atom_site_occupancy
Dy1 Dy 0.250 0.250 0.080 1
Ho1 Ho 0.250 0.750 0.275 1
Sc1 Sc 0.250 0.750 0.573 1